1.
# BeBi3Au

Crystalline BeBi3Au at its relaxed geometry (PBE, Alexandria via LeMat-Bulk).

Lattice parameters (Å, degrees): 5.0735 5.0735 5.0735 90.00 90.00 90.00
Fractional coordinates of all 5 atoms:
Be  0.0000  0.0000  0.0000
Au  0.5000  0.5000  0.5000
Bi  0.0000  0.5000  0.0000
Bi  0.0000  0.0000  0.5000
Bi  0.5000  0.0000  0.0000

Output
As for the total magnetic moment: 0.0 μB/f.u. The value obtained for the formation enthalpy at 0 K is 533 meV/atom. The calculation puts the calculated density at 10.59 g/cm³.

=====

2.
# NdSm4Pd2

Crystalline NdSm4Pd2 at its relaxed geometry (PBE, Alexandria via LeMat-Bulk).

Lattice parameters (Å, degrees): 6.6029 8.0627 8.0732 110.32 90.00 90.00
Fractional coordinates of all 14 atoms:
Nd  0.7500  0.8549  0.6454
Nd  0.2500  0.1451  0.3546
Sm  0.4999  0.2985  0.7982
Sm  0.7500  0.0506  0.0749
Sm  0.2500  0.9494  0.9251
Sm  0.0001  0.2985  0.7982
Sm  0.2500  0.5749  0.5497
Sm  0.9999  0.7015  0.2018
Sm  0.5001  0.7015  0.2018
Sm  0.7500  0.4251  0.4503
Pd  0.7500  0.6333  0.8676
Pd  0.2500  0.3667  0.1324
Pd  0.2500  0.9322  0.5687
Pd  0.7500  0.0678  0.4313

Output
As for the total magnetic moment: 0.0 μB/f.u. The value obtained for the formation enthalpy at 0 K is -304 meV/atom. The calculation puts the calculated density at 7.90 g/cm³.

=====

3.
# La5ScCd2

Crystalline La5ScCd2 at its relaxed geometry (PBE, Alexandria via LeMat-Bulk).

Lattice parameters (Å, degrees): 6.9117 6.9116 6.9116 107.49 107.49 113.52
Fractional coordinates of all 8 atoms:
La  0.2778  0.2780  0.5000
La  0.2780  0.7778  0.0000
La  0.7779  0.2778  0.0000
La  0.7777  0.7780  0.5000
La  0.2773  0.2769  0.0000
Sc  0.7788  0.7785  0.0000
Cd  0.2777  0.7780  0.5000
Cd  0.7778  0.2780  0.5000

Output
As for the total magnetic moment: 0.0 μB/f.u. The value obtained for the formation enthalpy at 0 K is -96 meV/atom. The calculation puts the calculated density at 6.32 g/cm³.